No. 1
ScMnGa2 PBE relaxed; magnetic moment = 0.699 μB per atom; mass density = 5.77 g cm⁻³; space-group type = R-3m (166)
1.0
4.211 0.000 0.000
2.106 3.647 0.000
2.106 1.216 4.486
Sc Mn Ga
1 1 2
Cartesian
0.000 0.000 0.000 Sc
4.211 2.431 2.243 Mn
6.317 3.647 3.080 Ga
2.106 1.216 1.406 Ga

***

No. 2
ScMnGa3 PBE relaxed; offset from the most stable computed form = 0 meV/atom; magnetic moment = 0.095 μB per atom; mass density = 5.44 g cm⁻³; space-group type = Cmcm (63)
1.0
6.445 -0.004 0.000
0.045 6.445 0.000
0.000 0.000 9.079
Sc Mn Ga
4 4 12
Cartesian
5.879 5.835 2.270 Sc
0.610 0.606 6.810 Sc
3.599 3.572 2.270 Sc
2.890 2.869 6.810 Sc
3.222 -0.002 0.000 Mn
3.222 -0.002 4.540 Mn
0.022 3.222 0.000 Mn
0.022 3.222 4.540 Mn
0.159 2.944 2.270 Ga
6.331 3.497 6.810 Ga
3.544 6.304 6.810 Ga
2.945 0.137 2.270 Ga
1.681 1.669 4.248 Ga
4.808 4.772 8.788 Ga
4.808 4.772 4.831 Ga
1.681 1.669 0.292 Ga
1.593 4.884 0.000 Ga
4.896 1.557 4.540 Ga
4.896 1.557 0.000 Ga
1.593 4.884 4.540 Ga

***

No. 3
Sc2MnGa3 PBE relaxed; magnetic moment = 0.411 μB per atom; mass density = 5.60 g cm⁻³; space-group type = Fmmm (69)
1.0
5.141 -0.730 -1.522
-1.597 4.941 -1.522
0.589 0.700 8.149
Sc Mn Ga
4 2 6
Cartesian
0.382 3.873 2.552 Sc
2.645 3.142 -2.272 Sc
3.751 1.037 2.552 Sc
0.899 1.069 -0.773 Sc
2.567 3.050 0.709 Mn
1.566 1.861 4.396 Mn
0.525 3.966 -0.400 Ga
0.314 3.716 5.505 Ga
3.608 0.944 5.505 Ga
3.818 1.195 -0.400 Ga
0.789 0.938 2.216 Ga
3.344 3.973 2.889 Ga

***

No. 4
ScMn2Ga PBE relaxed; magnetic moment = 1.153 μB per atom; mass density = 6.24 g cm⁻³; space-group type = P4/mmm (123)
1.0
3.715 0.000 0.000
0.000 4.011 0.000
0.000 0.000 4.011
Sc Mn Ga
1 2 1
Cartesian
1.857 0.000 0.000 Sc
0.000 0.000 2.006 Mn
0.000 2.006 0.000 Mn
1.857 2.006 2.006 Ga

***

No. 5
ScMn5Ga7 PBE relaxed; magnetic moment = 0.640 μB per atom; mass density = 7.08 g cm⁻³; space-group type = Imm2 (44)
1.0
4.747 0.000 1.950
2.372 6.074 0.978
0.066 0.023 6.593
Sc Mn Ga
1 5 7
Cartesian
2.449 6.070 7.547 Sc
2.383 0.015 4.265 Mn
0.055 0.015 3.309 Mn
3.535 3.040 1.458 Mn
1.208 3.040 0.502 Mn
5.369 4.627 7.191 Mn
3.992 1.994 3.789 Ga
3.184 4.128 5.756 Ga
5.561 2.102 6.724 Ga
6.328 4.114 4.857 Ga
1.833 1.427 2.291 Ga
4.310 4.843 3.015 Ga
2.909 1.167 6.426 Ga

***

No. 6
ScMn3Ga3 PBE relaxed; magnetic moment = 0.035 μB per atom; mass density = 3.87 g cm⁻³; space-group type = Fm-3m (225)
1.0
6.909 0.000 3.989
2.303 6.514 3.989
0.000 0.000 7.978
Sc Mn Ga
2 6 6
Cartesian
2.303 1.629 3.989 Sc
6.909 4.886 11.967 Sc
2.933 5.623 10.876 Mn
2.933 5.623 5.080 Mn
1.260 0.891 7.978 Mn
6.279 0.891 10.876 Mn
6.279 0.891 5.080 Mn
7.952 5.623 7.978 Mn
3.863 4.308 6.691 Ga
3.863 4.308 9.265 Ga
3.120 2.206 7.978 Ga
5.349 2.206 9.265 Ga
5.349 2.206 6.691 Ga
6.092 4.308 7.978 Ga

***

No. 7
ScMnGa2 PBE relaxed; magnetic moment = 0.908 μB per atom; mass density = 6.09 g cm⁻³; space-group type = P4/mmm (123)
1.0
2.997 0.000 0.000
0.000 2.997 0.000
0.000 0.000 7.269
Sc Mn Ga
1 1 2
Cartesian
1.499 1.499 3.634 Sc
1.499 1.499 0.000 Mn
0.000 0.000 5.650 Ga
0.000 0.000 1.619 Ga

***

No. 8
ScMn4Ga8 PBE relaxed; magnetic moment = 0.617 μB per atom; mass density = 6.98 g cm⁻³; space-group type = I4/mmm (139)
1.0
-1.508 -3.762 -3.260
4.972 -4.077 -1.744
-2.048 -5.503 3.148
Sc Mn Ga
1 4 8
Cartesian
0.000 0.000 0.000 Sc
-1.024 -2.751 1.574 Mn
-1.778 -4.633 -0.056 Mn
2.486 -2.039 -0.872 Mn
1.732 -3.920 -2.502 Mn
0.234 -5.039 1.557 Ga
2.689 -4.541 -0.154 Ga
1.483 -7.689 -0.113 Ga
-0.067 -5.654 -1.744 Ga
2.635 -6.280 -2.272 Ga
-1.220 -7.063 0.415 Ga
0.245 -3.193 -0.579 Ga
1.170 -10.150 -1.278 Ga

***

Calculated D(E_F) in order - 0.93 0.47 0.65 0.87 0.71 0.83 0.53 0.57 states/eV per atom
Calculated ΔE_f in order - -0.273 -0.083 -0.460 -0.107 -0.226 1.038 -0.311 -0.237 eV/atom